[1]
The following is a PBE-GGA calculation of a relaxed Th4TlTe8 crystal, from Alexandria via LeMat-Bulk.

abc: 10.9235 10.9235 14.3396
angles: 127.34 127.34 23.75
Last column: nearest neighbours and their distance in Å.
Sites, in units of the cell vectors:
Th  0.0000  0.0000  0.0000  6 Te 3.13-3.18
Th  0.2021  0.2021  0.7135  6 Te 3.13-3.16
Th  0.5067  0.5067  0.3745  6 Te 3.13-3.20
Th  0.7171  0.7171  0.0884  6 Te 3.11-3.18
Tl  0.7618  0.7618  0.4493  5 Te 3.49-3.78
Te  0.1361  0.1361  0.4472  3 Th 3.15-3.20, 2 Tl 3.49
Te  0.1854  0.1854  0.2119  3 Th 3.16-3.18, 2 Tl 3.52
Te  0.2423  0.2423  0.9646  3 Th 3.11-3.14
Te  0.4803  0.4803  0.1320  3 Th 3.13-3.16
Te  0.5324  0.5324  0.8828  3 Th 3.13-3.14
Te  0.5773  0.5773  0.6416  3 Th 3.13
Te  0.8221  0.8221  0.7592  3 Th 3.16-3.18
Te  0.8900  0.8900  0.3355  3 Th 3.14-3.16

Values from the calculation:
M_tot in μB per atom: 0.000
VASP energy in eV per cell: -70.4
Raw formation energy in meV per atom: -1014
V in A^3/atom: 41.60

***

[2]
The following is a PBE-GGA calculation of a relaxed ThTlTe2 crystal, from Alexandria via LeMat-Bulk.

abc: 3.9209 3.9209 8.2947
angles: 90.00 90.00 90.00
Last column: nearest neighbours and their distance in Å.
Sites, in units of the cell vectors:
Th  0.0000  0.0000  0.0000  8 Te 3.30
Tl  0.0000  0.0000  0.5000  8 Te 3.64, 4 Tl 3.92
Te  0.5000  0.5000  0.2165  4 Th 3.30, 1 Te 3.59, 4 Tl 3.64
Te  0.5000  0.5000  0.7835  4 Th 3.30, 1 Te 3.59, 4 Tl 3.64

Values from the calculation:
M_tot in μB per atom: 0.000
VASP energy in eV per cell: -19.6
Raw formation energy in meV per atom: -881
V in A^3/atom: 31.88

***

What did the second record say?
The following is a PBE-GGA calculation of a relaxed ThTlTe2 crystal, from Alexandria via LeMat-Bulk.

abc: 3.9209 3.9209 8.2947
angles: 90.00 90.00 90.00
Last column: nearest neighbours and their distance in Å.
Sites, in units of the cell vectors:
Th  0.0000  0.0000  0.0000  8 Te 3.30
Tl  0.0000  0.0000  0.5000  8 Te 3.64, 4 Tl 3.92
Te  0.5000  0.5000  0.2165  4 Th 3.30, 1 Te 3.59, 4 Tl 3.64
Te  0.5000  0.5000  0.7835  4 Th 3.30, 1 Te 3.59, 4 Tl 3.64

Values from the calculation:
M_tot in μB per atom: 0.000
VASP energy in eV per cell: -19.6
Raw formation energy in meV per atom: -881
V in A^3/atom: 31.88

***

What did the second record say?
The following is a PBE-GGA calculation of a relaxed ThTlTe2 crystal, from Alexandria via LeMat-Bulk.

abc: 3.9209 3.9209 8.2947
angles: 90.00 90.00 90.00
Last column: nearest neighbours and their distance in Å.
Sites, in units of the cell vectors:
Th  0.0000  0.0000  0.0000  8 Te 3.30
Tl  0.0000  0.0000  0.5000  8 Te 3.64, 4 Tl 3.92
Te  0.5000  0.5000  0.2165  4 Th 3.30, 1 Te 3.59, 4 Tl 3.64
Te  0.5000  0.5000  0.7835  4 Th 3.30, 1 Te 3.59, 4 Tl 3.64

Values from the calculation:
M_tot in μB per atom: 0.000
VASP energy in eV per cell: -19.6
Raw formation energy in meV per atom: -881
V in A^3/atom: 31.88

***

Question: raw formation energy of number 1 (Th4TlTe8)?
Answer: -1014 meV per atom

***

Please write out number 1 again, unchanged.
The following is a PBE-GGA calculation of a relaxed Th4TlTe8 crystal, from Alexandria via LeMat-Bulk.

abc: 10.9235 10.9235 14.3396
angles: 127.34 127.34 23.75
Last column: nearest neighbours and their distance in Å.
Sites, in units of the cell vectors:
Th  0.0000  0.0000  0.0000  6 Te 3.13-3.18
Th  0.2021  0.2021  0.7135  6 Te 3.13-3.16
Th  0.5067  0.5067  0.3745  6 Te 3.13-3.20
Th  0.7171  0.7171  0.0884  6 Te 3.11-3.18
Tl  0.7618  0.7618  0.4493  5 Te 3.49-3.78
Te  0.1361  0.1361  0.4472  3 Th 3.15-3.20, 2 Tl 3.49
Te  0.1854  0.1854  0.2119  3 Th 3.16-3.18, 2 Tl 3.52
Te  0.2423  0.2423  0.9646  3 Th 3.11-3.14
Te  0.4803  0.4803  0.1320  3 Th 3.13-3.16
Te  0.5324  0.5324  0.8828  3 Th 3.13-3.14
Te  0.5773  0.5773  0.6416  3 Th 3.13
Te  0.8221  0.8221  0.7592  3 Th 3.16-3.18
Te  0.8900  0.8900  0.3355  3 Th 3.14-3.16

Values from the calculation:
M_tot in μB per atom: 0.000
VASP energy in eV per cell: -70.4
Raw formation energy in meV per atom: -1014
V in A^3/atom: 41.60